[1]
This record from Alexandria describes a geometry-optimized SiTcIrAu2C structure. The functional is PBE.

Geometry as POSCAR:
```
SiTcIrAu2C
1.0
-3.840 1.892 0.557
-1.404 -1.886 -3.270
-1.147 -9.344 5.882
Si Au Tc C Ir
2 4 2 2 2
direct
0.596 0.500 0.127 Si
0.596 0.000 0.627 Si
0.969 0.000 0.066 Au
0.969 0.500 0.566 Au
0.652 0.500 0.766 Au
0.652 0.000 0.266 Au
0.153 0.000 0.745 Tc
0.153 0.500 0.245 Tc
0.239 0.500 0.423 C
0.239 0.000 0.923 C
0.258 0.500 0.929 Ir
0.258 0.000 0.429 Ir
```

Properties
Calculated volume: 15.7 Å³ per atom
Symmetry: No. 8
Polymorph energy (0 for the lowest one): 100 meV/atom
Energy relative to the elements, uncorrected: 162 kJ/mol of formula units

[2]
This record from Alexandria describes a geometry-optimized SiTcIrAu2C structure. The functional is PBE.

Geometry as POSCAR:
```
SiTcIrAu2C
1.0
3.371 0.005 -0.001
0.936 4.698 -0.002
0.533 0.533 5.969
Au Si C Tc Ir
2 1 1 1 1
direct
0.985 0.320 0.321 Au
0.235 0.765 0.503 Au
0.342 0.643 0.923 Si
0.952 0.141 0.877 C
0.455 0.216 0.725 Tc
0.750 0.874 0.113 Ir
```

Properties
Calculated volume: 15.8 Å³ per atom
Symmetry: No. 1
Polymorph energy (0 for the lowest one): 78 meV/atom
Energy relative to the elements, uncorrected: 149 kJ/mol of formula units

[3]
This record from Alexandria describes a geometry-optimized SiTcIrAu2C structure. The functional is PBE.

Geometry as POSCAR:
```
SiTcIrAu2C
1.0
-2.903 -0.315 0.346
2.067 -0.302 4.611
0.566 6.648 -1.532
Si Au Ir C Tc
1 2 1 1 1
direct
0.895 0.356 0.940 Si
0.656 0.294 0.515 Au
0.791 0.753 0.327 Au
0.341 0.100 0.088 Ir
0.032 0.695 0.871 C
0.531 0.843 0.721 Tc
```

Properties
Calculated volume: 15.1 Å³ per atom
Symmetry: No. 1
Polymorph energy (0 for the lowest one): 28 meV/atom
Energy relative to the elements, uncorrected: 120 kJ/mol of formula units

[4]
This record from Alexandria describes a geometry-optimized SiTcIrAu2C structure. The functional is PBE.

Geometry as POSCAR:
```
SiTcIrAu2C
1.0
4.287 0.000 0.001
0.000 3.037 0.000
-3.169 0.000 13.837
Tc Ir C Au Si
2 2 2 4 2
direct
0.731 0.000 0.499 Tc
0.731 0.500 0.999 Tc
0.401 0.000 0.844 Ir
0.401 0.500 0.344 Ir
0.716 0.000 0.361 C
0.716 0.500 0.861 C
0.891 0.500 0.733 Au
0.320 0.500 0.141 Au
0.320 0.000 0.641 Au
0.891 0.000 0.233 Au
0.205 0.000 0.989 Si
0.205 0.500 0.489 Si
```

Properties
Calculated volume: 15.0 Å³ per atom
Symmetry: No. 8
Polymorph energy (0 for the lowest one): 97 meV/atom
Energy relative to the elements, uncorrected: 160 kJ/mol of formula units

[5]
This record from Alexandria describes a geometry-optimized SiTcIrAu2C structure. The functional is PBE.

Geometry as POSCAR:
```
SiTcIrAu2C
1.0
5.592 0.000 0.025
0.000 2.863 0.000
-2.183 0.000 11.455
Au Si C Ir Tc
4 2 2 2 2
direct
0.560 0.500 0.560 Au
0.597 0.000 0.785 Au
0.597 0.500 0.285 Au
0.560 0.000 0.060 Au
0.120 0.500 0.195 Si
0.120 0.000 0.695 Si
0.985 0.000 0.840 C
0.985 0.500 0.340 C
0.029 0.000 0.029 Ir
0.029 0.500 0.529 Ir
0.247 0.000 0.381 Tc
0.247 0.500 0.881 Tc
```

Properties
Calculated volume: 15.3 Å³ per atom
Symmetry: No. 8
Polymorph energy (0 for the lowest one): 111 meV/atom
Energy relative to the elements, uncorrected: 168 kJ/mol of formula units

[6]
This record from Alexandria describes a geometry-optimized SiTcIrAu2C structure. The functional is PBE.

Geometry as POSCAR:
```
SiTcIrAu2C
1.0
5.050 0.000 0.007
0.000 2.853 0.000
-0.175 0.000 6.629
Tc Si Au Ir C
1 1 2 1 1
direct
0.048 0.500 0.123 Tc
0.133 0.000 0.810 Si
0.573 0.000 0.179 Au
0.696 0.500 0.777 Au
0.262 0.500 0.527 Ir
0.155 0.000 0.321 C
```

Properties
Calculated volume: 15.9 Å³ per atom
Symmetry: No. 6
Polymorph energy (0 for the lowest one): 49 meV/atom
Energy relative to the elements, uncorrected: 132 kJ/mol of formula units

[7]
This record from Alexandria describes a geometry-optimized SiTcIrAu2C structure. The functional is PBE.

Geometry as POSCAR:
```
SiTcIrAu2C
1.0
-0.795 2.740 2.149
-2.548 -3.636 2.070
5.250 -0.791 1.999
Si Au Ir Tc C
1 2 1 1 1
direct
0.714 0.759 0.199 Si
0.545 0.498 0.523 Au
0.939 0.252 0.145 Au
0.154 0.694 0.909 Ir
0.928 0.093 0.638 Tc
0.399 0.967 0.719 C
```

Properties
Calculated volume: 15.6 Å³ per atom
Symmetry: No. 1
Polymorph energy (0 for the lowest one): 109 meV/atom
Energy relative to the elements, uncorrected: 166 kJ/mol of formula units

[8]
This record from Alexandria describes a geometry-optimized Sn2IrAuC structure. The functional is PBE.

Geometry as POSCAR:
```
Sn2IrAuC
1.0
-3.785 -1.608 -2.896
1.457 -4.977 0.859
-3.005 -0.184 4.030
Au Ir C Sn
1 1 1 2
direct
0.000 0.500 0.000 Au
0.000 0.000 0.000 Ir
0.500 0.500 0.500 C
0.500 0.000 0.000 Sn
0.000 0.000 0.500 Sn
```

Properties
Calculated volume: 26.6 Å³ per atom
VASP energy: -4.382 eV/atom
Symmetry: No. 123

[9]
This record from Alexandria describes a geometry-optimized TaIr2AuC structure. The functional is PBE.

Geometry as POSCAR:
```
TaIr2AuC
1.0
5.024 0.000 0.000
0.000 3.633 0.000
0.000 0.000 5.024
Ta C Ir Au
1 1 2 1
direct
0.500 0.500 0.500 Ta
0.000 0.500 0.000 C
0.500 0.000 0.000 Ir
0.000 0.000 0.500 Ir
0.000 0.000 0.000 Au
```

Properties
Calculated volume: 18.3 Å³ per atom
VASP energy: -6.417 eV/atom
Symmetry: No. 123

[10]
This record from Alexandria describes a geometry-optimized Tb2IrAuC structure. The functional is PBE.

Geometry as POSCAR:
```
Tb2IrAuC
1.0
-0.507 -0.324 3.822
-4.946 -0.717 -0.717
0.768 -4.980 -0.320
Ir C Tb Au
1 1 2 1
direct
0.500 0.000 0.000 Ir
0.000 0.000 0.000 C
0.000 0.500 0.000 Tb
0.000 0.000 0.500 Tb
0.500 0.500 0.500 Au
```

Properties
Calculated volume: 19.7 Å³ per atom
VASP energy: -6.808 eV/atom
Symmetry: No. 123

[11]
This record from Alexandria describes a geometry-optimized Y2IrAuC structure. The functional is PBE.

Geometry as POSCAR:
```
Y2IrAuC
1.0
-2.499 -2.532 -3.551
4.086 -2.791 -0.885
-1.176 -2.563 2.655
Y Au C Ir
2 1 1 1
direct
0.500 0.000 0.000 Y
0.000 0.500 0.000 Y
0.500 0.500 0.500 Au
0.000 0.000 0.000 C
0.000 0.000 0.500 Ir
```

Properties
Calculated volume: 19.6 Å³ per atom
VASP energy: -7.555 eV/atom
Symmetry: No. 123

[12]
This record from Alexandria describes a geometry-optimized KAuC2 structure. The functional is PBE.

Geometry as POSCAR:
```
KAuC2
1.0
-3.822 -3.262 3.970
5.094 -1.754 3.463
0.234 0.596 5.880
Au C K
2 4 2
direct
0.000 0.000 0.000 Au
0.750 0.250 0.500 Au
0.005 0.625 0.250 C
0.875 0.995 0.750 C
0.745 0.125 0.250 C
0.375 0.255 0.750 C
0.500 0.500 0.000 K
0.250 0.750 0.500 K
```

Properties
Calculated volume: 19.5 Å³ per atom
Symmetry: No. 122
Polymorph energy (0 for the lowest one): 1691 meV/atom

[13]
This record from Alexandria describes a geometry-optimized K3AuC structure. The functional is PBE.

Geometry as POSCAR:
```
K3AuC
1.0
5.669 0.000 0.000
0.000 5.669 0.000
0.000 0.000 5.669
K C Au
3 1 1
direct
0.500 0.000 0.000 K
0.000 0.000 0.500 K
0.000 0.500 0.000 K
0.000 0.000 0.000 C
0.500 0.500 0.500 Au
```

Properties
Calculated volume: 36.4 Å³ per atom
Symmetry: No. 221
Polymorph energy (0 for the lowest one): 0 meV/atom